The following is a GGA-PBE calculation of crystalline BaCo2Se at its relaxed geometry, from Alexandria.

Computed properties:
Density of states at the Fermi level ... 1.57 states/eV per atom
Symmetry ... No. 12
Total energy ... -0.370 Ry per atom
Formation energy without anion corrections ... -0.535 eV/f.u.

Cell lengths 4.1806, 4.1806, 6.0568 Å; angles 69.92, 69.92, 60.07 degrees
Closest atoms and distances in Å follow each position.
Fractional coordinates of all 4 atoms:
1 Co 0.4348 0.4348 0.6956  3 Se 2.43, 3 Co 2.49
2 Co 0.0652 0.0652 0.8044  3 Se 2.43, 3 Co 2.49
3 Ba 0.2500 0.2500 0.2500  2 Co 3.08
4 Se 0.7500 0.7500 0.7500  6 Co 2.43



The following is a GGA-PBE calculation of crystalline BaCo2Se at its relaxed geometry, from Alexandria.

Computed properties:
Density of states at the Fermi level ... 1.76 states/eV per atom
Symmetry ... No. 119
Total energy ... -0.321 Ry per atom
Formation energy without anion corrections ... 2.154 eV/f.u.

Cell lengths 4.9997, 4.9997, 4.9997 Å; angles 119.68, 119.68, 90.56 degrees
Closest atoms and distances in Å follow each position.
Fractional coordinates of all 4 atoms:
1 Se 0.5000 0.5000 0.0000  4 Co 3.07, 4 Ba 3.07
2 Co 0.0000 0.0000 0.0000  4 Ba 3.07, 4 Co 3.07
3 Co 0.2500 0.7500 0.5000  4 Se 3.07, 4 Co 3.07
4 Ba 0.7500 0.2500 0.5000  4 Se 3.07, 4 Co 3.07



The following is a GGA-PBE calculation of crystalline Ba2CoSe at its relaxed geometry, from Alexandria.

Computed properties:
Density of states at the Fermi level ... 0.58 states/eV per atom
Symmetry ... No. 122
Total energy ... -0.288 Ry per atom
Formation energy without anion corrections ... -1.219 eV/f.u.

Cell lengths 8.3159, 8.3159, 7.2897 Å; angles 55.22, 55.22, 90.00 degrees
Closest atoms and distances in Å follow each position.
Fractional coordinates of all 8 atoms:
1 Se 0.0000 0.0000 0.0000  4 Ba 3.19
2 Se 0.7500 0.2500 0.5000  4 Ba 3.19
3 Co 0.5000 0.5000 0.0000  4 Ba 3.08
4 Co 0.2500 0.7500 0.5000  4 Ba 3.08
5 Ba 0.1352 0.6250 0.2500  2 Co 3.08, 2 Se 3.19
6 Ba 0.8750 0.8648 0.7500  2 Co 3.08, 2 Se 3.19
7 Ba 0.3750 0.3852 0.7500  2 Co 3.08, 2 Se 3.19
8 Ba 0.6148 0.1250 0.2500  2 Co 3.08, 2 Se 3.19



The following is a GGA-PBE calculation of crystalline BaCo2Se at its relaxed geometry, from Alexandria.

Computed properties:
Density of states at the Fermi level ... 0.77 states/eV per atom
Symmetry ... No. 44
Total energy ... -0.357 Ry per atom
Formation energy without anion corrections ... 0.165 eV/f.u.

Cell lengths 5.3672, 5.3672, 5.3672 Å; angles 135.40, 108.81, 88.03 degrees
Closest atoms and distances in Å follow each position.
Fractional coordinates of all 4 atoms:
1 Co 0.8973 0.8973 0.0000  2 Co 2.31, 1 Se 2.39
2 Co 0.7561 0.2561 0.5000  2 Co 2.31, 2 Se 2.42
3 Ba 0.2593 0.7593 0.5000  4 Se 3.25-3.39, 4 Co 3.30-3.46
4 Se 0.5874 0.5874 0.0000  3 Co 2.39-2.42



The following is a GGA-PBE calculation of crystalline BaCo3Se at its relaxed geometry, from Alexandria.

Computed properties:
Density of states at the Fermi level ... 1.18 states/eV per atom
Symmetry ... No. 221
E above lowest polymorph ... 1.730 eV per atom
Total energy ... -0.239 Ry per atom
Formation energy without anion corrections ... 10.472 eV/f.u.

Cell lengths 4.8922, 4.8922, 4.8922 Å; angles 90.00, 90.00, 90.00 degrees
Closest atoms and distances in Å follow each position.
Fractional coordinates of all 5 atoms:
1 Co 0.5000 0.0000 0.0000  2 Ba 2.45
2 Co 0.0000 0.0000 0.5000  2 Ba 2.45
3 Co 0.0000 0.5000 0.0000  2 Ba 2.45
4 Se 0.5000 0.5000 0.5000  12 Co 3.46
5 Ba 0.0000 0.0000 0.0000  6 Co 2.45



The following is a GGA-PBE calculation of crystalline Ba2CoSe at its relaxed geometry, from Alexandria.

Computed properties:
Density of states at the Fermi level ... 0.94 states/eV per atom
Symmetry ... No. 166
Total energy ... -0.302 Ry per atom
Formation energy without anion corrections ... -1.997 eV/f.u.

Cell lengths 8.4467, 8.4467, 8.4467 Å; angles 31.51, 31.51, 31.51 degrees
Closest atoms and distances in Å follow each position.
Fractional coordinates of all 4 atoms:
1 Se 0.7500 0.7500 0.7500  6 Ba 3.29
2 Ba 0.0020 0.0020 0.0020  3 Se 3.29, 3 Co 3.35
3 Ba 0.4980 0.4980 0.4980  3 Se 3.29, 3 Co 3.35
4 Co 0.2500 0.2500 0.2500  6 Ba 3.35



The following is a GGA-PBE calculation of crystalline Ba2CoSe at its relaxed geometry, from Alexandria.

Computed properties:
Density of states at the Fermi level ... 2.23 states/eV per atom
Symmetry ... No. 216
Total energy ... -0.259 Ry per atom
Formation energy without anion corrections ... 0.352 eV/f.u.

Cell lengths 5.4785, 5.4785, 5.4785 Å; angles 60.00, 60.00, 60.00 degrees
Closest atoms and distances in Å follow each position.
Fractional coordinates of all 4 atoms:
1 Co 0.5000 0.5000 0.5000  4 Ba 3.35, 4 Se 3.35
2 Ba 0.2500 0.2500 0.2500  4 Ba 3.35, 4 Co 3.35
3 Ba 0.0000 0.0000 0.0000  4 Se 3.35, 4 Ba 3.35
4 Se 0.7500 0.7500 0.7500  4 Ba 3.35, 4 Co 3.35



The following is a GGA-PBE calculation of crystalline Ba2CoSe at its relaxed geometry, from Alexandria.

Computed properties:
Density of states at the Fermi level ... 0.64 states/eV per atom
Symmetry ... No. 8
Total energy ... -0.304 Ry per atom
Formation energy without anion corrections ... -2.085 eV/f.u.

Cell lengths 6.3794, 6.3794, 4.9685 Å; angles 85.99, 85.99, 39.71 degrees
Closest atoms and distances in Å follow each position.
Fractional coordinates of all 4 atoms:
1 Se 0.2929 0.2929 0.0763  1 Co 2.61
2 Ba 0.7434 0.7434 0.6006  4 Se 3.29-3.41, 3 Co 3.40-3.46
3 Ba 0.0089 0.0089 0.1267  2 Co 3.14, 3 Se 3.40
4 Co 0.4548 0.4548 0.6965  1 Se 2.61



The following is a GGA-PBE calculation of crystalline BaCo2Se at its relaxed geometry, from Alexandria.

Computed properties:
Density of states at the Fermi level ... 1.09 states/eV per atom
Symmetry ... No. 47
Total energy ... -0.369 Ry per atom
Formation energy without anion corrections ... -0.468 eV/f.u.

Cell lengths 4.0628, 4.9686, 4.7214 Å; angles 90.04, 90.00, 90.00 degrees
Closest atoms and distances in Å follow each position.
Fractional coordinates of all 4 atoms:
1 Co 0.0000 0.2504 0.9854  1 Co 2.22, 2 Se 2.38
2 Co 0.0000 0.2496 0.5147  1 Co 2.22, 2 Se 2.38
3 Se 0.5000 0.2500 0.2500  4 Co 2.38
4 Ba 0.5000 0.7500 0.7500  8 Co 3.39-3.40, 4 Se 3.43



The following is a GGA-PBE calculation of crystalline Ba2TiCoSe at its relaxed geometry, from Alexandria.

Computed properties:
Density of states at the Fermi level ... 1.76 states/eV per atom
Symmetry ... No. 123
Total energy ... -0.314 Ry per atom
Formation energy without anion corrections ... 0.977 eV/f.u.

Cell lengths 6.3665, 4.3665, 6.3665 Å; angles 90.00, 90.00, 90.00 degrees
Closest atoms and distances in Å follow each position.
Fractional coordinates of all 5 atoms:
1 Co 0.0000 0.5000 0.0000  2 Se 2.18
2 Ti 0.5000 0.5000 0.5000  8 Ba 3.86
3 Ba 0.0000 0.0000 0.5000  2 Se 3.18
4 Ba 0.5000 0.0000 0.0000  2 Se 3.18
5 Se 0.0000 0.0000 0.0000  2 Co 2.18



The following is a GGA-PBE calculation of crystalline Ba2UCoSe6 at its relaxed geometry, from Alexandria.

Computed properties:
Density of states at the Fermi level ... 0.73 states/eV per atom
Symmetry ... No. 14
Total energy ... -0.405 Ry per atom
Formation energy without anion corrections ... -11.968 eV/f.u.

Cell lengths 7.2730, 7.1840, 10.2265 Å; angles 90.00, 90.17, 90.00 degrees
Closest atoms and distances in Å follow each position.
Fractional coordinates of all 20 atoms:
1 U 0.0000 0.5000 0.5000  6 Se 2.72
2 U 0.5000 0.0000 0.0000  6 Se 2.72
3 Se 0.7919 0.7660 0.9736  1 Co 2.45, 1 U 2.72
4 Se 0.2646 0.7080 0.0276  1 Co 2.45, 1 U 2.72
5 Se 0.9476 0.4937 0.2368  1 Co 2.45, 1 U 2.72
6 Se 0.2081 0.2340 0.0264  1 Co 2.45, 1 U 2.72
7 Se 0.2354 0.2080 0.4724  1 Co 2.45, 1 U 2.72
8 Se 0.7646 0.7920 0.5276  1 Co 2.45, 1 U 2.72
9 Se 0.5524 0.9937 0.2632  1 Co 2.45, 1 U 2.72
10 Se 0.7081 0.2660 0.5264  1 Co 2.45, 1 U 2.72
11 Se 0.2919 0.7340 0.4736  1 Co 2.45, 1 U 2.72
12 Se 0.4476 0.0063 0.7368  1 Co 2.45, 1 U 2.72
13 Se 0.0524 0.5063 0.7632  1 Co 2.45, 1 U 2.72
14 Se 0.7354 0.2920 0.9724  1 Co 2.45, 1 U 2.72
15 Co 0.0000 0.5000 0.0000  6 Se 2.45
16 Co 0.5000 0.0000 0.5000  6 Se 2.45
17 Ba 0.5059 0.5338 0.7478  8 Se 3.31-3.59
18 Ba 0.4941 0.4662 0.2522  8 Se 3.31-3.59
19 Ba 0.0059 0.9662 0.2478  8 Se 3.31-3.59
20 Ba 0.9941 0.0338 0.7522  8 Se 3.31-3.59



The following is a GGA-PBE calculation of crystalline BaV2CoSe at its relaxed geometry, from Alexandria.

Computed properties:
Density of states at the Fermi level ... 2.41 states/eV per atom
Symmetry ... No. 123
Total energy ... -0.275 Ry per atom
Formation energy without anion corrections ... 12.030 eV/f.u.

Cell lengths 4.9223, 4.6560, 4.9223 Å; angles 90.00, 90.00, 90.00 degrees
Closest atoms and distances in Å follow each position.
Fractional coordinates of all 5 atoms:
1 V 0.5000 0.0000 0.0000  2 Ba 2.46
2 V 0.0000 0.0000 0.5000  2 Ba 2.46
3 Co 0.0000 0.5000 0.0000  2 Ba 2.33
4 Ba 0.0000 0.0000 0.0000  2 Co 2.33, 4 V 2.46
5 Se 0.5000 0.5000 0.5000  8 V 3.39, 4 Co 3.48